Computed, not measured: an optimized crystal structure of TlBPd2 at the PBE-GGA level of DFT.

abc: 3.2432 3.2432 8.0107
angles: 78.32 78.32 60.00
Fractional positions:
Pd (0.8794, 0.8794, 0.3618)
Pd (0.1206, 0.1206, 0.6382)
B (0.5000, 0.5000, 0.5000)
Tl (0.0000, 0.0000, 0.0000)

Calculated values
Energy above the lowest structure with this stoichiometry = 0 meV/atom
Volume = 70.95 Å³/cell
Spin magnetization = 0.00 μB per cell
E_form = -15 kJ/mol of formula units
Symmetry = R-3m
D(E_F) = 0.293 states/eV per atom